No. 1
## ZnCo2P2O10 (PBE+U)

Data for a relaxed structure of ZnCo2P2O10.

Unit cell a=9.9223 b=9.0228 c=6.4663 alpha=77.74 beta=62.70 gamma=39.56
Sites, in units of the cell vectors:
Zn (0.1250, 0.1250, 0.1250)
Zn (0.8750, 0.8750, 0.8750)
Co (0.0000, 0.5000, 0.5000)
Co (0.5000, 0.0000, 0.5000)
Co (0.5000, 0.5000, 0.0000)
Co (0.5000, 0.5000, 0.5000)
P (0.0820, 0.0820, 0.6680)
P (0.3320, 0.3320, 0.9180)
P (0.6680, 0.6680, 0.0820)
P (0.9180, 0.9180, 0.3320)
O (0.0543, 0.2197, 0.4661)
O (0.1134, 0.4357, 0.1583)
O (0.1583, 0.7925, 0.1134)
O (0.2075, 0.8417, 0.5643)
O (0.2197, 0.0543, 0.7600)
O (0.2400, 0.5339, 0.7803)
O (0.2920, 0.2920, 0.4580)
O (0.4357, 0.1134, 0.7925)
O (0.4580, 0.4580, 0.2920)
O (0.4661, 0.7600, 0.0543)
O (0.5339, 0.2400, 0.9457)
O (0.5420, 0.5420, 0.7080)
O (0.5643, 0.8866, 0.2075)
O (0.7080, 0.7080, 0.5420)
O (0.7600, 0.4661, 0.2197)
O (0.7803, 0.9457, 0.2400)
O (0.7925, 0.1583, 0.4357)
O (0.8417, 0.2075, 0.8866)
O (0.8866, 0.5643, 0.8417)
O (0.9457, 0.7803, 0.5339)

Results
density of states at the Fermi level = 12.72 states/eV/cell
electronic total energy = -6.1743 eV per atom
ρ = 4.242 g cm⁻³
space group = No. 70
spin magnetization = 0.3603 μB per atom

=====

No. 2
## UMnGeO6 (PBE+U)

Data for a relaxed structure of UMnGeO6.

Unit cell a=5.2888 b=5.2888 c=9.3406 alpha=90.00 beta=90.00 gamma=120.00
Sites, in units of the cell vectors:
U (0.3333, 0.6667, 0.2500)
U (0.6667, 0.3333, 0.7500)
Mn (0.0000, 0.0000, 0.0000)
Mn (0.0000, 0.0000, 0.5000)
Ge (0.3333, 0.6667, 0.7500)
Ge (0.6667, 0.3333, 0.2500)
O (0.0244, 0.3638, 0.6362)
O (0.0244, 0.6606, 0.8638)
O (0.3394, 0.3638, 0.8638)
O (0.3394, 0.9756, 0.6362)
O (0.3638, 0.0244, 0.1362)
O (0.3638, 0.3394, 0.3638)
O (0.6362, 0.6606, 0.6362)
O (0.6362, 0.9756, 0.8638)
O (0.6606, 0.0244, 0.3638)
O (0.6606, 0.6362, 0.1362)
O (0.9756, 0.3394, 0.1362)
O (0.9756, 0.6362, 0.3638)

Results
electronic total energy = -8.0967 eV per atom
ρ = 6.775 g cm⁻³
space group = No. 163
spin magnetization = 0.5556 μB per atom